No. 1
Tb3Pm5Er3 | PBE | optimized geometry

Values from the calculation:
- Size of the total moment: 0.00 μB per cell
- Formation energy from the elements: 0.790 eV per atom
- Calculated total energy: -3.88 eV/atom

Cell: 9.7433 9.7433 5.4782 Å, 90.00 90.00 120.00°
With the nearest neighbours (Å) after each atom.
Positions (direct):
Tb: 0.0000 0.4465 0.0000  2 Pm 3.27, 2 Er 3.28
Tb: 0.4465 0.0000 0.0000  2 Pm 3.27, 2 Er 3.28
Tb: 0.5535 0.5535 0.0000  2 Pm 3.27, 2 Er 3.28
Pm: 0.0000 0.2641 0.5000  3 Er 3.20-3.58, 2 Tb 3.27
Pm: 0.2641 0.0000 0.5000  3 Er 3.20-3.58, 2 Tb 3.27
Pm: 0.3333 0.6667 0.5000  3 Er 3.09
Pm: 0.6667 0.3333 0.5000  3 Er 3.09
Pm: 0.7359 0.7359 0.5000  3 Er 3.20-3.58, 2 Tb 3.27
Er: 0.0000 0.6317 0.5000  4 Pm 3.09-3.20, 2 Tb 3.28
Er: 0.3683 0.3683 0.5000  4 Pm 3.09-3.20, 2 Tb 3.28
Er: 0.6317 0.0000 0.5000  4 Pm 3.09-3.20, 2 Tb 3.28



No. 2
Tb2FeIr3 | PBE | optimized geometry

Values from the calculation:
- Size of the total moment: 5.87 μB per cell
- Formation energy from the elements: -0.665 eV per atom
- Calculated total energy: -8.05 eV/atom

Cell: 5.4717 5.4717 8.2595 Å, 90.00 90.00 120.00°
With the nearest neighbours (Å) after each atom.
Positions (direct):
Tb: 0.3333 0.6667 0.0637  9 Ir 3.03-3.14, 4 Tb 3.08-3.33, 3 Fe 3.20
Tb: 0.3333 0.6667 0.4363  9 Ir 3.03-3.14, 4 Tb 3.08-3.33, 3 Fe 3.20
Tb: 0.6667 0.3333 0.5637  9 Ir 3.03-3.14, 4 Tb 3.08-3.33, 3 Fe 3.20
Tb: 0.6667 0.3333 0.9363  9 Ir 3.03-3.14, 4 Tb 3.08-3.33, 3 Fe 3.20
Fe: 0.0000 0.0000 0.0000  6 Ir 2.61
Fe: 0.0000 0.0000 0.5000  6 Ir 2.61
Ir: 0.1680 0.3360 0.7500  2 Fe 2.61, 4 Ir 2.71-2.76
Ir: 0.1680 0.8320 0.7500  2 Fe 2.61, 4 Ir 2.71-2.76
Ir: 0.3360 0.1680 0.2500  2 Fe 2.61, 4 Ir 2.71-2.76
Ir: 0.6640 0.8320 0.7500  2 Fe 2.61, 4 Ir 2.71-2.76
Ir: 0.8320 0.1680 0.2500  2 Fe 2.61, 4 Ir 2.71-2.76
Ir: 0.8320 0.6640 0.2500  2 Fe 2.61, 4 Ir 2.71-2.76



> Among the records above, which one has the lowest size of the total moment?

Tb3Pm5Er3



Repeat the first record exactly.
Tb3Pm5Er3 | PBE | optimized geometry

Values from the calculation:
- Size of the total moment: 0.00 μB per cell
- Formation energy from the elements: 0.790 eV per atom
- Calculated total energy: -3.88 eV/atom

Cell: 9.7433 9.7433 5.4782 Å, 90.00 90.00 120.00°
With the nearest neighbours (Å) after each atom.
Positions (direct):
Tb: 0.0000 0.4465 0.0000  2 Pm 3.27, 2 Er 3.28
Tb: 0.4465 0.0000 0.0000  2 Pm 3.27, 2 Er 3.28
Tb: 0.5535 0.5535 0.0000  2 Pm 3.27, 2 Er 3.28
Pm: 0.0000 0.2641 0.5000  3 Er 3.20-3.58, 2 Tb 3.27
Pm: 0.2641 0.0000 0.5000  3 Er 3.20-3.58, 2 Tb 3.27
Pm: 0.3333 0.6667 0.5000  3 Er 3.09
Pm: 0.6667 0.3333 0.5000  3 Er 3.09
Pm: 0.7359 0.7359 0.5000  3 Er 3.20-3.58, 2 Tb 3.27
Er: 0.0000 0.6317 0.5000  4 Pm 3.09-3.20, 2 Tb 3.28
Er: 0.3683 0.3683 0.5000  4 Pm 3.09-3.20, 2 Tb 3.28
Er: 0.6317 0.0000 0.5000  4 Pm 3.09-3.20, 2 Tb 3.28



> Which formula does entry 1 have?

Tb3Pm5Er3